Entry 1:
Below is a geometry-optimized CeHg2Au structure, with properties calculated at the PBE level.

Structure (POSCAR):
```
CeHg2Au
1.0
-4.4660 -1.8073 1.4050
1.8158 -4.6724 -0.2384
3.5148 3.7052 6.9755
Au Hg Ce
2 4 2
direct
0.7500 0.2500 0.5000
0.2500 0.7500 0.5000
0.5000 0.0000 0.0000
0.3633 0.3633 0.7266
0.0000 0.5000 0.0000
0.6367 0.6367 0.2734
0.8588 0.8588 0.7176
0.1412 0.1412 0.2824
```

Values from the calculation:
The value obtained for the energy of formation from the pure elements is -0.381 eV per atom.

=====

Entry 2:
Below is a geometry-optimized ZnPbI3 structure, with properties calculated at the PBE level.

Structure (POSCAR):
```
ZnPbI3
1.0
5.6043 0.0000 0.0000
0.0000 5.6043 0.0000
0.0000 0.0000 5.6043
Zn Pb I
1 1 3
direct
0.0000 0.0000 0.0000
0.5000 0.5000 0.5000
0.0000 0.5000 0.0000
0.0000 0.0000 0.5000
0.5000 0.0000 0.0000
```

Values from the calculation:
The energy above the most stable polymorph in this dataset is 0.0 meV/atom. As for the formation energy from raw total energies: -0.16 eV/atom.

=====

Entry 3:
Below is a geometry-optimized SrAc2Pa structure, with properties calculated at the PBE level.

Structure (POSCAR):
```
SrAc2Pa
1.0
3.6417 0.0000 0.0000
1.8208 3.1538 0.0000
1.8208 1.0513 13.7170
Pa Ac Sr
1 2 1
direct
0.0000 0.0000 0.0000
0.9186 0.9186 0.2441
0.0814 0.0814 0.7559
0.5000 0.5000 0.5000
```

Values from the calculation:
The value obtained for the energy of formation from the pure elements is 0.595 eV per atom.

=====

It is found that the electronic total energy values, taken in the order of the records, are -2.8344, -2.0877, -4.2536 eV per atom.